No. 1
Density functional theory data (PBE) for an optimized crystal structure of ScSb4.

Summary:
Calculated volume (Å³/atom): 32.54
Formation energy (no corrections) (eV per atom): 0.33
Relative energy among the computed polymorphs (eV per atom): 0.4904
Total magnetic moment (μB per formula unit): 0.000

a b c (Å): 5.4592 5.4592 5.4592
angles (deg): 90.00 90.00 90.00
With the nearest neighbours (Å) after each atom.
Fractional positions:
Sc (0.0000, 0.0000, 0.0000)  6 Sb 2.73
Sb (0.0000, 0.0000, 0.5000)  2 Sc 2.73
Sb (0.0000, 0.5000, 0.0000)  2 Sc 2.73
Sb (0.5000, 0.0000, 0.0000)  2 Sc 2.73
Sb (0.5000, 0.5000, 0.5000)  12 Sb 3.86



No. 2
Density functional theory data (PBE) for an optimized crystal structure of ScSb4.

Summary:
Calculated volume (Å³/atom): 32.75
Formation energy (no corrections) (eV per atom): 0.00
Relative energy among the computed polymorphs (eV per atom): 0.1587
Total magnetic moment (μB per formula unit): 0.000

a b c (Å): 10.4948 10.4948 10.4948
angles (deg): 157.88 157.88 31.48
With the nearest neighbours (Å) after each atom.
Fractional positions:
Sc (0.0000, 0.0000, 0.0000)  8 Sb 3.18
Sb (0.2500, 0.7500, 0.5000)  4 Sb 2.85
Sb (0.4295, 0.4295, 0.0000)  1 Sb 2.85, 4 Sc 3.18
Sb (0.5705, 0.5705, 0.0000)  1 Sb 2.85, 4 Sc 3.18
Sb (0.7500, 0.2500, 0.5000)  4 Sb 2.85



No. 3
Density functional theory data (PBE) for an optimized crystal structure of ScSb.

Summary:
Calculated volume (Å³/atom): 26.77
Formation energy (no corrections) (eV per atom): -0.19
Total magnetic moment (μB per formula unit): 0.000

a b c (Å): 3.3010 3.3010 11.3450
angles (deg): 90.00 90.00 120.00
With the nearest neighbours (Å) after each atom.
Fractional positions:
Sc (0.3333, 0.6667, 0.1167)  3 Sb 3.12, 9 Sc 3.26-3.30
Sc (0.6667, 0.3333, 0.8833)  3 Sb 3.12, 9 Sc 3.26-3.30
Sb (0.3333, 0.6667, 0.6660)  3 Sc 3.12, 6 Sb 3.30
Sb (0.6667, 0.3333, 0.3340)  3 Sc 3.12, 6 Sb 3.30



No. 4
Density functional theory data (PBE) for an optimized crystal structure of ScSb.

Summary:
Calculated volume (Å³/atom): 26.36
Formation energy (no corrections) (eV per atom): -0.19
Total magnetic moment (μB per formula unit): 0.514

a b c (Å): 11.0725 11.0725 11.0725
angles (deg): 17.36 17.36 17.36
With the nearest neighbours (Å) after each atom.
Fractional positions:
Sc (0.1261, 0.1261, 0.1261)  3 Sb 3.08, 9 Sc 3.28-3.34
Sc (0.8739, 0.8739, 0.8739)  3 Sb 3.08, 9 Sc 3.28-3.34
Sb (0.3860, 0.3860, 0.3860)  3 Sc 3.08, 6 Sb 3.34
Sb (0.6140, 0.6140, 0.6140)  3 Sc 3.08, 6 Sb 3.34